(1)
Material: PuAg2PO6
Method: DFT, PBE
State: relaxed

abc: 4.4681 5.3195 5.3195
angles: 90.00 90.00 90.00
Closest atoms and distances in Å follow each position.
Fractional positions:
Pu 0.6414 0.5000 0.5000  6 O 2.13-2.29
Ag 0.1055 0.5000 0.0000  8 O 2.67-2.74
Ag 0.1055 0.0000 0.5000  8 O 2.67-2.74
P 0.5673 0.0000 0.0000  5 O 1.55-1.69
O 0.6629 0.2167 0.2167  1 P 1.69
O 0.6629 0.2167 0.7833  1 P 1.69
O 0.1548 0.5000 0.5000  2 Pu 2.17-2.29
O 0.2209 0.0000 0.0000  1 P 1.55
O 0.6629 0.7833 0.7833  1 P 1.69
O 0.6629 0.7833 0.2167  1 P 1.69

Magnetic moment (μB/atom): 0.300
Raw formation energy (eV/atom): -1.518
Energy (eV per atom): -7.04
DOS(E_F) (states/eV/f.u.): 7.80



(2)
Material: ZrZnCu2H
Method: DFT, PBE
State: relaxed

abc: 4.0611 4.0611 3.9848
angles: 90.00 90.00 90.00
Closest atoms and distances in Å follow each position.
Fractional positions:
H 0.0000 0.0000 0.0000  2 Zr 1.99, 4 Cu 2.03
Zn 0.5000 0.5000 0.5000  8 Cu 2.84, 4 Zr 2.87
Cu 0.0000 0.5000 0.0000  2 H 2.03
Cu 0.5000 0.0000 0.0000  2 H 2.03
Zr 0.0000 0.0000 0.5000  2 H 1.99

Magnetic moment (μB/atom): 0.000
Energy (eV per atom): -4.32
DOS(E_F) (states/eV/f.u.): 3.06